Entry from the Alexandria database: Pm2Tl5Hg after structural relaxation (GGA-PBE).

For the total DFT energy (no corrections), the calculation gives -3.013 eV/atom. For the density of states at the Fermi level, the calculation gives 0.554 states/eV/atom. Its volume is 27.451 Å³ per atom. The calculation puts the formation energy at -239 kJ/mol of formula units.

The structure belongs to space group Pbam (No. 55); the cell edges are 6.730, 13.487 and 4.839 Å and the angles 90.00°, 90.00° and 90.00°. The distinct sites, in fractional coordinates, are Pm at (0.248, 0.126, 0.000), Tl at (0.000, 0.000, 0.500), Tl at (0.004, 0.748, 0.500), Tl at (0.245, 0.377, 0.000) and Hg at (0.000, 0.500, 0.500).